[1]
Computed, not measured: crystalline Re2Bi2Pd at its relaxed geometry at the PBE level of DFT.

CIF file:
```
data_Re2Bi2Pd
_space_group_name_H-M_alt 'P 1'
_space_group_IT_number 1
_space_group_name_Hall 'P 1'
_cell_length_a 7.857
_cell_length_b 7.857
_cell_length_c 3.288
_cell_angle_alpha 90.00
_cell_angle_beta 90.00
_cell_angle_gamma 90.00
loop_
_atom_site_label
_atom_site_type_symbol
_atom_site_fract_x
_atom_site_fract_y
_atom_site_fract_z
Bi1 Bi 0.336 0.836 0.000
Bi2 Bi 0.164 0.336 0.000
Bi3 Bi 0.664 0.164 0.000
Bi4 Bi 0.836 0.664 0.000
Re1 Re 0.131 0.631 0.500
Re2 Re 0.631 0.869 0.500
Re3 Re 0.369 0.131 0.500
Re4 Re 0.869 0.369 0.500
Pd1 Pd 0.500 0.500 0.000
Pd2 Pd 0.000 0.000 0.000
```

Output
ΔE_f = 1.14 eV per atom
ΔE to the lowest computed polymorph = 568 meV/atom


[2]
Computed, not measured: crystalline ReBiPd at its relaxed geometry at the PBE level of DFT.

CIF file:
```
data_ReBiPd
_space_group_name_H-M_alt 'P 1'
_space_group_IT_number 1
_space_group_name_Hall 'P 1'
_cell_length_a 3.183
_cell_length_b 3.090
_cell_length_c 13.648
_cell_angle_alpha 90.00
_cell_angle_beta 90.00
_cell_angle_gamma 121.01
loop_
_atom_site_label
_atom_site_type_symbol
_atom_site_fract_x
_atom_site_fract_y
_atom_site_fract_z
Re1 Re 0.675 0.351 0.648
Re2 Re 0.675 0.351 0.352
Bi1 Bi 0.230 0.460 0.822
Bi2 Bi 0.230 0.460 0.178
Pd1 Pd 0.518 0.036 0.000
Pd2 Pd 0.338 0.675 0.500
```

Output
ΔE_f = 0.74 eV per atom


[3]
Computed, not measured: crystalline ReBi3Pd at its relaxed geometry at the PBE level of DFT.

CIF file:
```
data_ReBi3Pd
_space_group_name_H-M_alt 'P 1'
_space_group_IT_number 1
_space_group_name_Hall 'P 1'
_cell_length_a 5.295
_cell_length_b 5.295
_cell_length_c 5.295
_cell_angle_alpha 90.00
_cell_angle_beta 90.00
_cell_angle_gamma 90.00
loop_
_atom_site_label
_atom_site_type_symbol
_atom_site_fract_x
_atom_site_fract_y
_atom_site_fract_z
Bi1 Bi 0.000 0.500 0.000
Bi2 Bi 0.000 0.000 0.500
Bi3 Bi 0.500 0.000 0.000
Re1 Re 0.000 0.000 0.000
Pd1 Pd 0.500 0.500 0.500
```

Output
ΔE_f = 0.92 eV per atom
ΔE to the lowest computed polymorph = 0 meV/atom


Calculated total energy in order - -6.434; -6.434; -4.936 eV/atom